*A*
Material: Sc2AlBr
Method: DFT, PBE
State: optimized geometry

```
Sc2AlBr
1.0
-7.0244 1.5167 1.4821
-5.3532 -2.6717 4.2479
6.7604 2.5748 -1.2278
Sc Al Br
2 1 1
Cartesian
-12.0060 -1.1203 5.5579
-1.6268 -0.2659 2.5889
-6.7644 -0.6312 3.1315
-3.7865 1.7048 1.8189
```



*B*
Material: Sc2AlBr
Method: DFT, PBE
State: optimized geometry

```
Sc2AlBr
1.0
3.3787 0.0000 0.0000
0.0000 5.7639 0.0000
0.0000 0.0000 4.6562
Sc Al Br
2 1 1
Cartesian
0.0000 0.0000 0.0000
1.6893 2.8819 0.0000
1.6893 0.0000 2.3281
0.0000 2.8819 2.3281
```



Energies relative to the most stable structure are *A* 0; *B* 215, reported in meV per atom.



*A*
Material: Sc2AlBr
Method: DFT, PBE
State: optimized geometry

```
Sc2AlBr
1.0
-5.2655 -2.0207 -0.4344
-3.5976 -4.0815 1.5478
-1.3212 2.6166 3.8319
Sc Al Br
2 1 1
Cartesian
-9.9428 -3.7605 4.4566
-2.7481 -0.5699 1.7199
-5.0637 -2.1640 2.0109
-7.7060 -2.2199 4.1761
```



*B*
Material: Sc2AlBr
Method: DFT, PBE
State: optimized geometry

```
Sc2AlBr
1.0
5.2112 0.0129 -0.0175
-0.1183 5.2098 -0.0175
0.3436 0.3523 3.1679
Sc Al Br
2 1 1
Cartesian
0.0000 0.0000 0.0000
2.5464 2.6113 -0.0175
2.7774 0.1826 1.5752
0.1126 2.7811 1.5752
```



Energies relative to the most stable structure are *A* 0; *B* 64, reported in meV per atom.



*A*
Material: Sc2AlBr
Method: DFT, PBE
State: optimized geometry

```
Sc2AlBr
1.0
9.9297 0.0023 0.0014
9.3505 3.3419 0.0014
9.3505 1.6219 2.9219
Sc Al Br
2 1 1
Cartesian
0.1446 0.0251 0.0148
7.1582 1.2416 0.7312
14.5446 2.5228 1.4858
21.0986 3.6596 2.1553
```



*B*
Material: Sc2AlBr
Method: DFT, PBE
State: optimized geometry

```
Sc2AlBr
1.0
-2.0513 -1.9637 -2.0483
0.7791 -0.4015 -3.3899
4.0885 -7.4068 0.0008
Sc Al Br
2 1 1
Cartesian
-1.2253 -2.4357 -5.4213
1.3613 -4.8155 -2.7356
0.7041 -2.4430 -1.3594
2.1122 -7.3290 -4.0781
```



Energies relative to the most stable structure are *A* 191; *B* 0, reported in meV per atom.



*A*
Material: Sc2AlBr
Method: DFT, PBE
State: optimized geometry

```
Sc2AlBr
1.0
3.2670 0.0042 0.0000
-0.0028 3.2670 0.0000
0.0000 0.0000 7.9740
Sc Al Br
2 1 1
Cartesian
0.0000 0.0000 0.1769
0.0000 0.0000 3.8102
1.6321 1.6356 1.9935
1.6321 1.6356 5.9805
```



*B*
Material: Sc2AlBr
Method: DFT, PBE
State: optimized geometry

```
Sc2AlBr
1.0
5.8054 0.0000 0.0000
0.0000 5.8054 0.0000
2.9027 2.9027 7.1338
Sc Al Br
4 2 2
Cartesian
4.3043 1.4513 1.7835
1.5010 4.3540 1.7835
4.3540 4.4037 5.3504
7.2567 7.2070 5.3504
2.9027 2.9027 0.0000
2.9027 5.8054 3.5669
0.0000 0.0000 0.0000
5.8054 2.9027 3.5669
```



*C*
Material: Sc2AlBr
Method: DFT, PBE
State: optimized geometry

```
Sc2AlBr
1.0
5.8916 -0.0101 0.0000
3.0696 5.0288 0.0000
-4.4806 -2.5093 2.8877
Sc Al Br
2 1 1
Cartesian
0.0000 0.0000 0.0000
1.5348 2.5144 1.4438
4.4806 2.5093 0.0000
2.9458 -0.0051 1.4438
```



*D*
Material: Sc2AlBr
Method: DFT, PBE
State: optimized geometry

```
Sc2AlBr
1.0
-1.5890 -2.6770 -1.1729
1.2992 0.5865 -3.0987
6.3292 -4.5438 1.7959
Sc Al Br
2 1 1
Cartesian
1.2006 0.2770 -2.2588
3.9128 -1.6692 -1.4913
1.1126 -2.3278 -0.9121
4.9268 -4.3065 -1.5635
```



Energies relative to the most stable structure are *A* 94; *B* 645; *C* 392; *D* 0, reported in meV per atom.



*A*
Material: Sc2AlBr
Method: DFT, PBE
State: optimized geometry

```
Sc2AlBr
1.0
5.0097 0.0000 0.0000
2.5049 4.3385 0.0000
2.5049 1.4462 4.0904
Sc Al Br
2 1 1
Cartesian
0.0000 0.0000 0.0000
2.5049 1.4462 1.0226
5.0097 2.8924 2.0452
7.5146 4.3385 3.0678
```



*B*
Material: Sc2AlBr
Method: DFT, PBE
State: optimized geometry

```
Sc2AlBr
1.0
1.9781 -4.4114 1.2007
0.9863 -1.0739 4.7633
-2.7448 -3.3876 2.4095
Sc Al Br
2 1 1
Cartesian
0.0549 -2.2182 2.0934
0.1647 -6.6546 6.2801
0.0000 0.0000 0.0000
0.1098 -4.4364 4.1867
```



*C*
Material: Sc2AlBr
Method: DFT, PBE
State: optimized geometry

```
Sc2AlBr
1.0
5.4367 -0.0088 0.0020
1.0440 5.3355 -0.0020
-2.2833 -3.8277 3.1133
Sc Al Br
2 1 1
Cartesian
6.4019 5.2620 0.0000
3.3191 2.7281 0.0000
1.0005 2.0856 1.5557
3.1968 -0.5865 1.5576
```



Energies relative to the most stable structure are *A* 533; *B* 62; *C* 0, reported in meV per atom.



*A*
Material: ScAl2Br
Method: DFT, PBE
State: optimized geometry

```
ScAl2Br
1.0
8.1872 0.0000 0.0000
0.0000 8.1872 0.0000
4.0936 4.0936 2.7387
Sc Al Br
2 4 2
Cartesian
4.0936 4.0936 0.0000
4.0936 8.1872 1.3694
6.0916 2.0468 0.6847
2.0956 6.1404 0.6847
6.1404 6.1892 2.0540
10.2340 10.1852 2.0540
0.0000 0.0000 0.0000
8.1872 4.0936 1.3694
```



*B*
Material: ScAl2Br
Method: DFT, PBE
State: optimized geometry

```
ScAl2Br
1.0
5.8134 0.0000 0.0000
0.0000 3.8249 0.0000
0.0000 0.0000 3.8249
Sc Al Br
1 2 1
Cartesian
2.9067 0.0000 1.9125
0.0000 0.0000 0.0000
0.0000 1.9125 1.9125
2.9067 1.9125 0.0000
```



*C*
Material: ScAl2Br
Method: DFT, PBE
State: optimized geometry

```
ScAl2Br
1.0
5.9480 0.0165 0.0058
2.5716 5.3634 -0.0058
-3.4283 -4.0067 2.7518
Sc Al Br
1 2 1
Cartesian
1.7576 2.0587 1.3730
0.0616 0.0389 0.0000
3.5194 -0.5683 1.3788
4.0126 2.5338 0.0000
```



*D*
Material: ScAl2Br
Method: DFT, PBE
State: optimized geometry

```
ScAl2Br
1.0
9.1212 0.0064 0.0038
8.5195 3.2582 0.0038
8.5195 1.5766 2.8513
Sc Al Br
1 2 1
Cartesian
19.6201 3.6309 2.1442
26.1310 4.8358 2.8557
13.1092 2.4260 1.4326
6.5400 1.2103 0.7147
```



Energies relative to the most stable structure are *A* 302; *B* 39; *C* 0; *D* 78, reported in meV per atom.



*A*
Material: ScAl2Br
Method: DFT, PBE
State: optimized geometry

```
ScAl2Br
1.0
5.1924 -0.0295 0.2890
4.1476 3.1239 0.2890
1.8520 0.6136 5.3178
Sc Al Br
1 2 1
Cartesian
3.0819 1.0211 1.9298
10.8899 3.6079 5.5242
8.2757 2.7418 4.7494
5.7325 1.8992 2.5363
```



*B*
Material: ScAl2Br
Method: DFT, PBE
State: optimized geometry

```
ScAl2Br
1.0
9.9990 0.0808 0.0477
9.3989 3.4128 0.0477
9.3989 1.6928 2.9638
Sc Al Br
1 2 1
Cartesian
21.5235 3.8765 2.2865
0.2079 0.0374 0.0221
7.7389 1.3938 0.8221
13.7251 2.4719 1.4580
```



Energies relative to the most stable structure are *A* 117; *B* 0, reported in meV per atom.



*A*
Material: ScAl2Br
Method: DFT, PBE
State: optimized geometry

```
ScAl2Br
1.0
-3.5934 0.0456 3.5568
-0.9741 4.2529 2.5553
-4.3214 2.4990 -0.8040
Sc Al Br
1 2 1
Cartesian
0.0000 0.0000 0.0000
-2.2222 1.6994 1.3270
-6.6666 5.0981 3.9811
-4.4444 3.3987 2.6541
```



*B*
Material: ScAl2Br
Method: DFT, PBE
State: optimized geometry

```
ScAl2Br
1.0
3.2297 0.0134 0.0000
-0.0132 3.2298 0.0000
0.0000 0.0000 8.9003
Sc Al Br
1 2 1
Cartesian
1.6083 1.6216 6.8178
0.0000 0.0000 8.7645
1.6083 1.6216 1.5567
0.0000 0.0000 5.1117
```



*C*
Material: ScAl2Br
Method: DFT, PBE
State: optimized geometry

```
ScAl2Br
1.0
5.1363 0.0000 0.0000
0.0000 5.1363 0.0000
0.0000 0.0000 3.2410
Sc Al Br
1 2 1
Cartesian
0.0000 2.5681 1.6205
0.0000 0.0000 0.0000
2.5681 2.5681 0.0000
2.5681 0.0000 1.6205
```



*D*
Material: ScAl2Br
Method: DFT, PBE
State: optimized geometry

```
ScAl2Br
1.0
4.9660 0.0000 0.0000
0.0000 3.3527 0.0266
0.0000 3.3058 5.2802
Sc Al Br
1 2 1
Cartesian
2.4830 4.9939 3.9801
0.0000 3.3036 5.2439
0.0000 3.3315 2.6897
2.4830 1.6646 1.3267
```



Energies relative to the most stable structure are *A* 671; *B* 0; *C* 238; *D* 165, reported in meV per atom.



*A*
Material: ScAl2Br
Method: DFT, PBE
State: optimized geometry

```
ScAl2Br
1.0
-1.7805 -3.0014 3.4320
2.5795 -3.9156 1.4041
2.0431 -0.1188 4.4462
Sc Al Br
1 2 1
Cartesian
2.1316 -5.2768 6.9618
0.0000 0.0000 0.0000
0.7105 -1.7589 2.3206
1.4211 -3.5179 4.6412
```



*B*
Material: ScAl2Br
Method: DFT, PBE
State: optimized geometry

```
ScAl2Br
1.0
5.1480 0.0228 0.0000
1.1650 5.0145 0.0000
-3.1565 -2.5186 3.1930
Sc Al Br
1 2 1
Cartesian
2.5740 0.0114 1.5965
0.0000 0.0000 0.0000
0.5825 2.5072 1.5965
3.1565 2.5186 0.0000
```



Energies relative to the most stable structure are *A* 25; *B* 0, reported in meV per atom.



*A*
Material: ScAl2Br
Method: DFT, PBE
State: optimized geometry

```
ScAl2Br
1.0
-3.9608 5.5143 -0.4786
-6.7507 0.8313 0.2476
5.9571 -2.0688 2.5609
Sc Al Br
1 2 1
Cartesian
-3.0747 0.9676 1.3465
-0.3691 0.2186 -0.0080
-4.9867 2.9541 -0.1075
-1.6797 3.3092 0.9834
```



*B*
Material: ScAl2Br
Method: DFT, PBE
State: optimized geometry

```
ScAl2Br
1.0
5.1574 0.1422 0.0000
-0.7596 5.1031 0.0000
0.0000 0.0000 3.2301
Sc Al Br
1 2 1
Cartesian
-0.3798 2.5516 1.6150
0.0000 0.0000 0.0000
2.1989 2.6226 0.0000
2.5787 0.0711 1.6150
```



Energies relative to the most stable structure are *A* 0; *B* 98, reported in meV per atom.



*A*
Material: ScAlSe2Br
Method: DFT, PBE
State: optimized geometry

```
ScAlSe2Br
1.0
5.1690 0.0000 0.0000
0.0000 5.1690 0.0000
0.0000 0.0000 5.4019
Sc Se Br Al
1 2 1 1
Cartesian
0.0000 0.0000 0.0000
0.0000 2.5845 0.0000
2.5845 0.0000 0.0000
0.0000 0.0000 2.7010
2.5845 2.5845 2.7010
```



*B*
Material: ScAlSe2Br
Method: DFT, PBE
State: optimized geometry

```
ScAlSe2Br
1.0
4.9762 0.0000 0.0000
0.0000 4.9762 0.0000
0.0000 0.0000 4.8652
Sc Se Br Al
1 2 1 1
Cartesian
2.4881 2.4881 2.4326
0.0000 2.4881 0.0000
2.4881 0.0000 0.0000
0.0000 0.0000 2.4326
0.0000 0.0000 0.0000
```



Energies relative to the most stable structure are *A* 0; *B* 150, reported in meV per atom.